! KZnRh2 GGA-PBE relaxed; values from VASP
&SYSTEM
  ibrav = 0, nat = 8, ntyp = 3
/
ATOMIC_SPECIES
K 39.10 K.upf
Zn 65.41 Zn.upf
Rh 102.91 Rh.upf
CELL_PARAMETERS angstrom
5.8613 0.0000 0.0000
0.0000 8.9628 0.0000
0.0000 0.0000 2.6607
ATOMIC_POSITIONS crystal
K 0.0000 0.0000 0.0000
K 0.5000 0.5000 0.0000
Zn 0.0000 0.5000 0.0000
Zn 0.5000 0.0000 0.0000
Rh 0.2500 0.2500 0.5000
Rh 0.2500 0.7500 0.5000
Rh 0.7500 0.2500 0.5000
Rh 0.7500 0.7500 0.5000
! Total magnetic moment: 0.020 μB per atom
! Space group: Cmmm
! E_form: 0.59 eV per atom
! Energy: -3.674 eV/atom


! KZnRh2 GGA-PBE relaxed; values from VASP
&SYSTEM
  ibrav = 0, nat = 4, ntyp = 3
/
ATOMIC_SPECIES
K 39.10 K.upf
Zn 65.41 Zn.upf
Rh 102.91 Rh.upf
CELL_PARAMETERS angstrom
2.7946 0.0000 0.0000
0.0000 4.2588 0.0000
-1.3832 0.0000 7.0562
ATOMIC_POSITIONS crystal
K 0.0000 0.0000 0.0000
Zn 0.3343 0.5000 0.6668
Rh 0.2291 0.0000 0.4544
Rh 0.6795 0.5000 0.3550
! Total magnetic moment: 0.000 μB per atom
! Space group: Pm
! E_form: 0.22 eV per atom
! Energy: -4.046 eV/atom


! KZnRh2 GGA-PBE relaxed; values from VASP
&SYSTEM
  ibrav = 0, nat = 4, ntyp = 3
/
ATOMIC_SPECIES
K 39.10 K.upf
Zn 65.41 Zn.upf
Rh 102.91 Rh.upf
CELL_PARAMETERS angstrom
2.8447 0.0000 0.0000
0.0000 4.8856 0.0000
0.0000 0.0000 5.0220
ATOMIC_POSITIONS crystal
K 0.0000 0.0000 0.0000
Zn 0.5000 0.0000 0.5000
Rh 0.0000 0.5000 0.5000
Rh 0.5000 0.5000 0.0000
! Total magnetic moment: 0.118 μB per atom
! Space group: Pmmm
! E_form: 0.57 eV per atom
! Energy: -3.699 eV/atom


! KZnRh2 GGA-PBE relaxed; values from VASP
&SYSTEM
  ibrav = 0, nat = 4, ntyp = 3
/
ATOMIC_SPECIES
K 39.10 K.upf
Zn 65.41 Zn.upf
Rh 102.91 Rh.upf
CELL_PARAMETERS angstrom
2.8905 0.0000 0.0000
0.0000 2.8905 0.0000
0.0000 0.0000 8.6288
ATOMIC_POSITIONS crystal
K 0.0000 0.0000 0.0000
Zn 0.0000 0.0000 0.5000
Rh 0.5000 0.5000 0.3083
Rh 0.5000 0.5000 0.6917
! Total magnetic moment: 0.263 μB per atom
! Space group: P4/mmm
! E_form: 0.30 eV per atom
! Energy: -3.969 eV/atom


! KZnRh2 GGA-PBE relaxed; values from VASP
&SYSTEM
  ibrav = 0, nat = 4, ntyp = 3
/
ATOMIC_SPECIES
K 39.10 K.upf
Zn 65.41 Zn.upf
Rh 102.91 Rh.upf
CELL_PARAMETERS angstrom
3.2050 0.0000 0.0000
0.0000 3.2050 0.0000
0.0000 0.0000 7.8290
ATOMIC_POSITIONS crystal
K 0.0000 0.0000 0.0000
Zn 0.5000 0.5000 0.6506
Rh 0.0000 0.0000 0.4873
Rh 0.5000 0.5000 0.3145
! Total magnetic moment: 0.000 μB per atom
! Space group: P4mm
! E_form: 0.25 eV per atom
! Energy: -4.016 eV/atom


! KZnRh2 GGA-PBE relaxed; values from VASP
&SYSTEM
  ibrav = 0, nat = 4, ntyp = 3
/
ATOMIC_SPECIES
K 39.10 K.upf
Zn 65.41 Zn.upf
Rh 102.91 Rh.upf
CELL_PARAMETERS angstrom
4.0813 0.0000 0.0000
0.0000 4.0813 0.0000
0.0000 0.0000 4.2377
ATOMIC_POSITIONS crystal
K 0.0000 0.0000 0.0000
Zn 0.5000 0.5000 0.0000
Rh 0.0000 0.5000 0.5000
Rh 0.5000 0.0000 0.5000
! Total magnetic moment: 0.003 μB per atom
! Space group: P4/mmm
! E_form: 0.66 eV per atom
! Energy: -3.609 eV/atom


! K4ZnRh GGA-PBE relaxed; values from VASP
&SYSTEM
  ibrav = 0, nat = 6, ntyp = 3
/
ATOMIC_SPECIES
K 39.10 K.upf
Zn 65.41 Zn.upf
Rh 102.91 Rh.upf
CELL_PARAMETERS angstrom
0.0000 4.8203 4.8203
4.8203 0.0000 4.8203
4.8203 4.8203 0.0000
ATOMIC_POSITIONS crystal
K 0.1240 0.1240 0.1240
K 0.1240 0.1240 0.6279
K 0.1240 0.6279 0.1240
K 0.6279 0.1240 0.1240
Zn 0.5000 0.5000 0.5000
Rh 0.7500 0.7500 0.7500
! Total magnetic moment: 0.067 μB per atom
! Space group: F-43m
! E_form: 0.80 eV per atom
! Energy: -1.368 eV/atom


! KZn3Rh GGA-PBE relaxed; values from VASP
&SYSTEM
  ibrav = 0, nat = 5, ntyp = 3
/
ATOMIC_SPECIES
K 39.10 K.upf
Zn 65.41 Zn.upf
Rh 102.91 Rh.upf
CELL_PARAMETERS angstrom
4.9065 0.0000 0.0000
0.0000 4.9065 0.0000
0.0000 0.0000 4.9065
ATOMIC_POSITIONS crystal
K 0.0000 0.0000 0.0000
Zn 0.0000 0.5000 0.5000
Zn 0.5000 0.0000 0.5000
Zn 0.5000 0.5000 0.0000
Rh 0.5000 0.5000 0.5000
! Total magnetic moment: 0.000 μB per atom
! Space group: Pm-3m
! Distance to the lowest polymorph of the same formula: 0.0000 eV/atom
! E_form: -0.14 eV per atom
! Energy: -2.599 eV/atom


! KZnRh2 GGA-PBE relaxed; values from VASP
&SYSTEM
  ibrav = 0, nat = 8, ntyp = 3
/
ATOMIC_SPECIES
K 39.10 K.upf
Zn 65.41 Zn.upf
Rh 102.91 Rh.upf
CELL_PARAMETERS angstrom
5.8015 0.0000 0.0000
0.0000 9.5600 0.0000
-1.2254 0.0000 2.4843
ATOMIC_POSITIONS crystal
K 0.0000 0.0000 0.0000
K 0.5000 0.5000 0.0000
Zn 0.0000 0.5000 0.0000
Zn 0.5000 0.0000 0.0000
Rh 0.2500 0.2500 0.5000
Rh 0.2500 0.7500 0.5000
Rh 0.7500 0.2500 0.5000
Rh 0.7500 0.7500 0.5000
! Total magnetic moment: 0.002 μB per atom
! Space group: C2/m
! E_form: 0.54 eV per atom
! Energy: -3.728 eV/atom


! KZnRh2 GGA-PBE relaxed; values from VASP
&SYSTEM
  ibrav = 0, nat = 8, ntyp = 3
/
ATOMIC_SPECIES
K 39.10 K.upf
Zn 65.41 Zn.upf
Rh 102.91 Rh.upf
CELL_PARAMETERS angstrom
8.7215 0.0000 0.0000
0.0000 2.8516 0.0000
-0.6913 0.0000 6.8476
ATOMIC_POSITIONS crystal
K 0.0000 0.0000 0.0000
K 0.5000 0.5000 0.0000
Zn 0.2292 0.0000 0.6491
Zn 0.7292 0.5000 0.6491
Rh 0.0003 0.5000 0.4708
Rh 0.2631 0.5000 0.3477
Rh 0.5003 0.0000 0.4708
Rh 0.7631 0.0000 0.3477
! Total magnetic moment: 0.000 μB per atom
! Space group: Cm
! E_form: 0.24 eV per atom
! Energy: -4.030 eV/atom


! KZnRh2 GGA-PBE relaxed; values from VASP
&SYSTEM
  ibrav = 0, nat = 4, ntyp = 3
/
ATOMIC_SPECIES
K 39.10 K.upf
Zn 65.41 Zn.upf
Rh 102.91 Rh.upf
CELL_PARAMETERS angstrom
2.7439 0.0000 0.0000
0.0000 3.8749 0.0000
0.0000 0.0000 7.3121
ATOMIC_POSITIONS crystal
K 0.0000 0.0000 0.0000
Zn 0.0000 0.0000 0.5000
Rh 0.5000 0.5000 0.3272
Rh 0.5000 0.5000 0.6728
! Total magnetic moment: 0.001 μB per atom
! Space group: Pmmm
! E_form: 0.31 eV per atom
! Energy: -3.961 eV/atom


! KZnRh2 GGA-PBE relaxed; values from VASP
&SYSTEM
  ibrav = 0, nat = 8, ntyp = 3
/
ATOMIC_SPECIES
K 39.10 K.upf
Zn 65.41 Zn.upf
Rh 102.91 Rh.upf
CELL_PARAMETERS angstrom
8.8251 0.0000 0.0000
0.0000 2.8102 0.0000
-0.8486 0.0000 6.5214
ATOMIC_POSITIONS crystal
K 0.0000 0.0000 0.0000
K 0.5000 0.5000 0.0000
Zn 0.0000 0.5000 0.5000
Zn 0.5000 0.0000 0.5000
Rh 0.2292 0.0000 0.6597
Rh 0.2708 0.5000 0.3403
Rh 0.7292 0.5000 0.6597
Rh 0.7708 0.0000 0.3403
! Total magnetic moment: 0.000 μB per atom
! Space group: C2/m
! E_form: 0.27 eV per atom
! Energy: -4.002 eV/atom